Entry 1:
First-principles (GGA-PBE) data for a relaxed GeTePdO crystal, as listed in the Open Quantum Materials Database.

## Properties
VASP energy (eV/atom): -4.945
Crystal system: orthorhombic
E above lowest polymorph (kJ/mol of atoms): 21.77

a b c (Å): 6.3227 7.4787 13.4118
angles (deg): 90.00 90.00 90.00
Closest atoms and distances in Å follow each position.
Space group Pbca (No. 61)
Symmetry-distinct sites (fractional):
1 Ge 0.2334 0.1464 0.2354 [8 per cell]  2 O 1.92-1.95
2 Te 0.2493 0.0016 0.9729 [8 per cell]  4 Pd 2.65-2.75
3 Pd 0.0482 0.7475 0.0785 [8 per cell]  1 O 2.48, 1 Ge 2.63, 4 Te 2.65-2.75
4 O 0.0168 0.7091 0.7613 [8 per cell]  2 Ge 1.92-1.95

---

Entry 2:
First-principles (GGA-PBE) data for a relaxed YLuCuGe crystal, as listed in the Open Quantum Materials Database.

## Properties
VASP energy (eV/atom): -4.705
Crystal system: cubic
E above lowest polymorph (kJ/mol of atoms): 0.00

a b c (Å): 7.0223 7.0223 7.0223
angles (deg): 90.00 90.00 90.00
Closest atoms and distances in Å follow each position.
Space group F-43m (No. 216)
Symmetry-distinct sites (fractional):
1 Y 0.0000 0.0000 0.0000 [4 per cell]  4 Ge 3.04, 4 Lu 3.04
2 Lu 0.2500 0.2500 0.7500 [4 per cell]  4 Cu 3.04, 4 Y 3.04
3 Cu 0.0000 0.0000 0.5000 [4 per cell]  4 Lu 3.04, 4 Ge 3.04
4 Ge 0.2500 0.2500 0.2500 [4 per cell]  4 Cu 3.04, 4 Y 3.04

---

Entry 3:
First-principles (GGA-PBE) data for a relaxed YZn11 crystal, as listed in the Open Quantum Materials Database.

## Properties
E_form (eV per atom): -0.191
VASP energy (eV/atom): -1.889
Crystal system: tetragonal

a b c (Å): 10.5348 10.5348 6.7793
angles (deg): 90.00 90.00 90.00
Closest atoms and distances in Å follow each position.
Space group I4_1/amd (No. 141, origin choice 2)
Symmetry-distinct sites (fractional):
1 Y 0.0000 0.2500 0.3750 [4 per cell]  18 Zn 3.23-3.39
2 Zn 0.0000 0.0000 0.0000 [8 per cell]  10 Zn 2.59-2.77
3 Zn 0.0000 0.2500 0.8750 [4 per cell]  12 Zn 2.77-2.85
4 Zn 0.1209 0.0450 0.6755 [32 per cell]  8 Zn 2.55-2.85

---

Entry 4:
First-principles (GGA-PBE) data for a relaxed SmTlGaTe3 crystal, as listed in the Open Quantum Materials Database.

## Properties
VASP energy (eV/atom): -3.968
Crystal system: orthorhombic
E above lowest polymorph (kJ/mol of atoms): 0.43

a b c (Å): 4.7756 14.8070 11.7896
angles (deg): 90.00 90.00 90.00
Closest atoms and distances in Å follow each position.
Space group Cmcm (No. 63)
Symmetry-distinct sites (fractional):
1 Sm 0.0000 0.0000 0.0000 [4 per cell]  6 Te 3.16-3.21
2 Tl 0.0000 0.2444 0.2500 [4 per cell]  6 Te 3.57-3.63
3 Ga 0.0000 0.4771 0.7500 [4 per cell]  4 Te 2.77-2.80
4 Te 0.0000 0.0762 0.7500 [4 per cell]  2 Ga 2.80
5 Te 0.0000 0.3642 0.5628 [8 per cell]  1 Ga 2.77